(1)
# HoSiHRu

An optimized crystal structure of HoSiHRu (PBE, the Alexandria database).

Cell lengths 4.0754, 4.0754, 7.0767 Å; angles 90.00, 90.00, 90.00 degrees
Sites, in units of the cell vectors:
Ho  0.2500  0.2500  0.1588
Ho  0.7500  0.7500  0.8412
Si  0.2500  0.2500  0.6728
Si  0.7500  0.7500  0.3272
H  0.2500  0.7500  0.0000
H  0.7500  0.2500  0.0000
Ru  0.2500  0.7500  0.5000
Ru  0.7500  0.2500  0.5000

Summary:
DFT total energy: -51.5 eV per cell

(2)
# AcNi4Ge

An optimized crystal structure of AcNi4Ge (PBE, the Alexandria database).

Cell lengths 5.0994, 5.0994, 5.0994 Å; angles 60.00, 60.00, 60.00 degrees
Sites, in units of the cell vectors:
Ac  0.0000  0.0000  0.0000
Ni  0.3771  0.3771  0.3771
Ni  0.3771  0.3771  0.8688
Ni  0.3771  0.8688  0.3771
Ni  0.8688  0.3771  0.3771
Ge  0.7500  0.7500  0.7500

Summary:
Distance to the lowest polymorph of the same formula: 0.0648 eV per atom
Formation energy from the elements: -0.13 eV/atom

(3)
# PmPu5As6

An optimized crystal structure of PmPu5As6 (PBE, the Alexandria database).

Cell lengths 7.2031, 7.2031, 7.1697 Å; angles 99.64, 99.64, 119.99 degrees
Sites, in units of the cell vectors:
Pm  0.0000  0.0000  0.0000
Pu  0.1650  0.8350  0.5000
Pu  0.3329  0.6671  0.0000
Pu  0.5000  0.5000  0.5000
Pu  0.6671  0.3329  0.0000
Pu  0.8350  0.1650  0.5000
As  0.0847  0.4233  0.2536
As  0.2545  0.2545  0.7472
As  0.4233  0.0847  0.2536
As  0.5767  0.9153  0.7464
As  0.7455  0.7455  0.2528
As  0.9153  0.5767  0.7464

Summary:
Formation energy from the elements: -1.07 eV/atom

(4)
# AcSi2Se8

An optimized crystal structure of AcSi2Se8 (PBE, the Alexandria database).

Cell lengths 8.2921, 8.2921, 6.7394 Å; angles 90.00, 90.00, 120.00 degrees
Sites, in units of the cell vectors:
Ac  0.0000  0.0000  0.0000
Si  0.3333  0.6667  0.3190
Si  0.6667  0.3333  0.6810
Se  0.1887  0.3774  0.1897
Se  0.1887  0.8113  0.1897
Se  0.3333  0.6667  0.6440
Se  0.3774  0.1887  0.8103
Se  0.6226  0.8113  0.1897
Se  0.6667  0.3333  0.3560
Se  0.8113  0.1887  0.8103
Se  0.8113  0.6226  0.8103

Summary:
Formation energy without anion corrections: -0.165 eV/atom

(5)
# Pm3YHg5

An optimized crystal structure of Pm3YHg5 (PBE, the Alexandria database).

Cell lengths 9.2474, 9.2474, 6.6396 Å; angles 90.00, 90.00, 120.00 degrees
Sites, in units of the cell vectors:
Pm  0.0000  0.3712  0.2500
Pm  0.0000  0.6288  0.7500
Pm  0.3712  0.0000  0.2500
Pm  0.3712  0.3712  0.7500
Pm  0.6288  0.0000  0.7500
Pm  0.6288  0.6288  0.2500
Y  0.0000  0.0000  0.0000
Y  0.0000  0.0000  0.5000
Hg  0.0000  0.2950  0.7500
Hg  0.0000  0.7050  0.2500
Hg  0.2950  0.0000  0.7500
Hg  0.2950  0.2950  0.2500
Hg  0.3333  0.6667  0.0000
Hg  0.3333  0.6667  0.5000
Hg  0.6667  0.3333  0.0000
Hg  0.6667  0.3333  0.5000
Hg  0.7050  0.0000  0.2500
Hg  0.7050  0.7050  0.7500

Summary:
Formation energy from the elements: -0.43 eV/atom

(6)
# K2LaVSb

An optimized crystal structure of K2LaVSb (PBE, the Alexandria database).

Cell lengths 6.0581, 6.0581, 5.2782 Å; angles 90.00, 90.00, 90.00 degrees
Sites, in units of the cell vectors:
K  0.0000  0.5000  0.0000
K  0.5000  0.0000  0.0000
La  0.0000  0.0000  0.5000
V  0.5000  0.5000  0.0000
Sb  0.5000  0.5000  0.5000

Summary:
Formation energy without anion corrections: 0.671 eV/atom

(7)
# Y2TcAu

An optimized crystal structure of Y2TcAu (PBE, the Alexandria database).

Cell lengths 8.8941, 8.8941, 8.8941 Å; angles 22.85, 22.85, 22.85 degrees
Sites, in units of the cell vectors:
Y  0.2445  0.2445  0.2445
Y  0.7555  0.7555  0.7555
Tc  0.5000  0.5000  0.5000
Au  0.0000  0.0000  0.0000

Summary:
Formation energy from the elements: -0.11 eV/atom

(8)
# Sb2TeIrI

An optimized crystal structure of Sb2TeIrI (PBE, the Alexandria database).

Cell lengths 5.8649, 5.8649, 4.8211 Å; angles 90.00, 90.00, 90.00 degrees
Sites, in units of the cell vectors:
Sb  0.0000  0.5000  0.0000
Sb  0.5000  0.0000  0.0000
Te  0.0000  0.0000  0.5000
Ir  0.5000  0.5000  0.5000
I  0.5000  0.5000  0.0000

Summary:
Formation energy without anion corrections: 1.366 eV/atom
Distance to the lowest polymorph of the same formula: 0.9552 eV per atom

(9)
# PaIrBr

An optimized crystal structure of PaIrBr (PBE, the Alexandria database).

Cell lengths 3.9475, 3.9475, 11.2164 Å; angles 99.58, 99.58, 90.24 degrees
Sites, in units of the cell vectors:
Pa  0.2047  0.2047  0.3745
Pa  0.7953  0.7953  0.6255
Ir  0.3073  0.3073  0.6339
Ir  0.6927  0.6927  0.3661
Br  0.1666  0.1666  0.8540
Br  0.8334  0.8334  0.1460

Summary:
Formation energy without anion corrections: -0.840 eV/atom

(10)
# BeP2Rh

An optimized crystal structure of BeP2Rh (PBE, the Alexandria database).

Cell lengths 4.2383, 4.1635, 4.1635 Å; angles 51.89, 90.00, 90.00 degrees
Sites, in units of the cell vectors:
Be  0.0000  0.0000  0.0000
P  0.0000  0.6766  0.6766
P  0.5000  0.1470  0.1470
Rh  0.5000  0.8348  0.8348

Summary:
Formation energy from the elements: -0.26 eV/atom

(11)
# CePaMo

An optimized crystal structure of CePaMo (PBE, the Alexandria database).

Cell lengths 5.9111, 5.9111, 5.9111 Å; angles 145.69, 145.69, 49.30 degrees
Sites, in units of the cell vectors:
Ce  0.0000  0.0000  0.0000
Pa  0.3267  0.3267  0.0000
Mo  0.6830  0.6830  0.0000

Summary:
Distance to the lowest polymorph of the same formula: 0.0000 eV per atom
Formation energy from the elements: 0.02 eV/atom

(12)
# Li2MoW

An optimized crystal structure of Li2MoW (PBE, the Alexandria database).

Cell lengths 2.5962, 2.5962, 9.8405 Å; angles 90.00, 90.00, 110.02 degrees
Sites, in units of the cell vectors:
Li  0.0000  0.0000  0.2495
Li  0.0000  0.0000  0.7505
Mo  0.5000  0.5000  0.5000
W  0.5000  0.5000  0.0000

Summary:
Distance to the lowest polymorph of the same formula: 0.2095 eV per atom
Formation energy from the elements: 0.45 eV/atom

(13)
# AlRh2Cl

An optimized crystal structure of AlRh2Cl (PBE, the Alexandria database).

Cell lengths 2.9412, 2.9412, 8.2533 Å; angles 90.00, 90.00, 118.45 degrees
Sites, in units of the cell vectors:
Al  0.0000  0.0000  0.0000
Rh  0.0000  0.0000  0.5072
Rh  0.5000  0.5000  0.7750
Cl  0.5000  0.5000  0.2270

Summary:
Formation energy without anion corrections: 0.025 eV/atom
Distance to the lowest polymorph of the same formula: 0.4548 eV per atom

(14)
# Th3NiOs

An optimized crystal structure of Th3NiOs (PBE, the Alexandria database).

Cell lengths 7.8114, 7.8114, 4.7250 Å; angles 90.00, 90.00, 117.87 degrees
Sites, in units of the cell vectors:
Th  0.0000  0.5000  0.5000
Th  0.1517  0.8483  0.0000
Th  0.3207  0.3207  0.5000
Th  0.5000  0.0000  0.5000
Th  0.6793  0.6793  0.5000
Th  0.8483  0.1517  0.0000
Ni  0.0873  0.9127  0.5000
Ni  0.9127  0.0873  0.5000
Os  0.3590  0.6410  0.0000
Os  0.6410  0.3590  0.0000

Summary:
Formation energy from the elements: 0.14 eV/atom

(15)
# Sr3ZnCd2Hg6

An optimized crystal structure of Sr3ZnCd2Hg6 (PBE, the Alexandria database).

Cell lengths 6.5076, 6.5076, 9.4147 Å; angles 90.00, 90.00, 120.00 degrees
Sites, in units of the cell vectors:
Sr  0.0000  0.0000  0.0000
Sr  0.3333  0.6667  0.6125
Sr  0.6667  0.3333  0.3875
Zn  0.0000  0.0000  0.5000
Cd  0.3333  0.6667  0.9910
Cd  0.6667  0.3333  0.0090
Hg  0.1754  0.3508  0.2819
Hg  0.1754  0.8246  0.2819
Hg  0.3508  0.1754  0.7181
Hg  0.6492  0.8246  0.2819
Hg  0.8246  0.1754  0.7181
Hg  0.8246  0.6492  0.7181

Summary:
Formation energy from the elements: -0.26 eV/atom

(16)
# La2CdW

An optimized crystal structure of La2CdW (PBE, the Alexandria database).

Cell lengths 3.1728, 3.7279, 9.0985 Å; angles 90.00, 90.00, 90.00 degrees
Sites, in units of the cell vectors:
La  0.0000  0.0000  0.2162
La  0.0000  0.0000  0.7838
Cd  0.5000  0.5000  0.5000
W  0.5000  0.5000  0.0000

Summary:
Formation energy from the elements: 0.29 eV/atom

(17)
# Pa2TePt

An optimized crystal structure of Pa2TePt (PBE, the Alexandria database).

Cell lengths 8.0144, 8.0144, 8.0144 Å; angles 29.36, 29.36, 29.36 degrees
Sites, in units of the cell vectors:
Pa  0.0000  0.0000  0.0000
Pa  0.1933  0.1933  0.1933
Te  0.4295  0.4295  0.4295
Pt  0.5981  0.5981  0.5981

Summary:
Formation energy without anion corrections: -0.703 eV/atom
Distance to the lowest polymorph of the same formula: 0.0175 eV per atom

(18)
# InAs2Au2

An optimized crystal structure of InAs2Au2 (PBE, the Alexandria database).

Cell lengths 6.2516, 6.2516, 6.2516 Å; angles 136.67, 136.67, 62.94 degrees
Sites, in units of the cell vectors:
In  0.0000  0.0000  0.0000
As  0.3828  0.3828  0.0000
As  0.6172  0.6172  0.0000
Au  0.2500  0.7500  0.5000
Au  0.7500  0.2500  0.5000

Summary:
Distance to the lowest polymorph of the same formula: 0.0000 eV per atom
Formation energy from the elements: 0.10 eV/atom

(19)
# Np2HPd9

An optimized crystal structure of Np2HPd9 (PBE, the Alexandria database).

Cell lengths 4.2027, 4.2027, 11.1140 Å; angles 90.00, 90.00, 90.00 degrees
Sites, in units of the cell vectors:
Np  0.0000  0.0000  0.1883
Np  0.0000  0.0000  0.8117
H  0.0000  0.0000  0.5000
Pd  0.0000  0.5000  0.0000
Pd  0.0000  0.5000  0.3546
Pd  0.0000  0.5000  0.6454
Pd  0.5000  0.0000  0.0000
Pd  0.5000  0.0000  0.3546
Pd  0.5000  0.0000  0.6454
Pd  0.5000  0.5000  0.1769
Pd  0.5000  0.5000  0.5000
Pd  0.5000  0.5000  0.8231

Summary:
DFT total energy: -77.9 eV per cell

(20)
# CoCu2Ge2

An optimized crystal structure of CoCu2Ge2 (PBE, the Alexandria database).

Cell lengths 6.6602, 6.6602, 3.1841 Å; angles 90.00, 90.00, 90.00 degrees
Sites, in units of the cell vectors:
Co  0.0000  0.0000  0.0000
Co  0.5000  0.5000  0.0000
Cu  0.1287  0.3713  0.0000
Cu  0.3713  0.8713  0.0000
Cu  0.6287  0.1287  0.0000
Cu  0.8713  0.6287  0.0000
Ge  0.1762  0.6762  0.5000
Ge  0.3238  0.1762  0.5000
Ge  0.6762  0.8238  0.5000
Ge  0.8238  0.3238  0.5000

Summary:
Distance to the lowest polymorph of the same formula: 0.1564 eV per atom
Formation energy from the elements: 0.31 eV/atom